# 1
The following is a PBE calculation of BaPm2RhO5 after structural relaxation, from Alexandria.

The structure in POSCAR format:
```
BaPm2RhO5
1.0
-3.361 3.361 6.138
3.361 -3.361 6.138
3.361 3.361 -6.138
Ba Pm Rh O
2 4 2 10
direct
0.250 0.250 0.000
0.750 0.750 0.000
0.173 0.673 0.846
0.327 0.173 0.500
0.673 0.827 0.500
0.827 0.327 0.154
0.250 0.750 0.500
0.750 0.250 0.500
0.000 0.000 0.000
0.016 0.246 0.500
0.246 0.746 0.230
0.254 0.484 0.500
0.484 0.984 0.230
0.500 0.500 0.000
0.516 0.016 0.770
0.746 0.516 0.500
0.754 0.254 0.770
0.984 0.754 0.500
```

Crystal system = tetragonal
E_form (uncorrected) = -2097 kJ/mol of formula units
Final energy = -130.60 eV/cell
N(E_F) = 11.88 states/eV/cell

***

# 2
The following is a PBE calculation of Ba2PmRhO6 after structural relaxation, from Alexandria.

The structure in POSCAR format:
```
Ba2PmRhO6
1.0
0.000 4.276 4.276
4.276 0.000 4.276
4.276 4.276 0.000
Ba Pm Rh O
2 1 1 6
direct
0.250 0.250 0.250
0.750 0.750 0.750
0.000 0.000 0.000
0.500 0.500 0.500
0.268 0.268 0.732
0.268 0.732 0.268
0.268 0.732 0.732
0.732 0.268 0.268
0.732 0.268 0.732
0.732 0.732 0.268
```

Crystal system = cubic
E_form (uncorrected) = -2143 kJ/mol of formula units
Final energy = -67.91 eV/cell
N(E_F) = 3.07 states/eV/cell

***

# 3
The following is a PBE calculation of BaPmRhO6 after structural relaxation, from Alexandria.

The structure in POSCAR format:
```
BaPmRhO6
1.0
5.717 0.000 0.000
-2.858 4.951 0.000
0.000 0.000 5.596
Ba Pm Rh O
1 1 1 6
direct
0.000 0.000 0.000
0.333 0.667 0.500
0.667 0.333 0.500
0.395 0.049 0.699
0.395 0.346 0.301
0.654 0.049 0.301
0.654 0.605 0.699
0.951 0.346 0.699
0.951 0.605 0.301
```

Crystal system = trigonal
E_form (uncorrected) = -1423 kJ/mol of formula units
Final energy = -58.52 eV/cell
N(E_F) = 7.50 states/eV/cell

***

# 4
The following is a PBE calculation of BaPm2RuO8 after structural relaxation, from Alexandria.

The structure in POSCAR format:
```
BaPm2RuO8
1.0
4.297 0.000 0.000
0.033 5.389 0.000
2.121 0.017 6.906
Ba Pm Ru O
1 2 1 8
direct
0.000 0.000 0.000
0.332 0.486 0.301
0.668 0.514 0.699
0.500 0.000 0.500
0.174 0.498 0.999
0.184 0.242 0.625
0.217 0.708 0.600
0.387 0.029 0.257
0.613 0.971 0.743
0.783 0.292 0.400
0.816 0.758 0.375
0.826 0.502 0.001
```

Crystal system = triclinic
E_form (uncorrected) = -2465 kJ/mol of formula units
Final energy = -85.91 eV/cell
N(E_F) = 4.02 states/eV/cell

***

# 5
The following is a PBE calculation of BaPmRu2O8 after structural relaxation, from Alexandria.

The structure in POSCAR format:
```
BaPmRu2O8
1.0
5.946 0.000 0.000
-2.973 5.150 0.000
0.000 0.000 7.759
Ba Pm Ru O
1 1 2 8
direct
0.000 0.000 0.000
0.000 0.000 0.500
0.333 0.667 0.779
0.667 0.333 0.221
0.165 0.331 0.704
0.165 0.835 0.704
0.331 0.165 0.296
0.333 0.667 0.009
0.667 0.333 0.991
0.669 0.835 0.704
0.835 0.165 0.296
0.835 0.669 0.296
```

Crystal system = trigonal
E_form (uncorrected) = -1909 kJ/mol of formula units
Final energy = -84.68 eV/cell
N(E_F) = 5.94 states/eV/cell

***

# 6
The following is a PBE calculation of Ba2PmRu3O12 after structural relaxation, from Alexandria.

The structure in POSCAR format:
```
Ba2PmRu3O12
1.0
3.691 2.131 5.417
-3.691 2.131 5.417
0.000 -4.262 5.417
Ba Pm Ru O
2 1 3 12
direct
0.111 0.111 0.111
0.889 0.889 0.889
0.500 0.500 0.500
0.000 0.500 0.500
0.500 0.000 0.500
0.500 0.500 0.000
0.084 0.631 0.631
0.219 0.219 0.609
0.219 0.609 0.219
0.369 0.369 0.916
0.369 0.916 0.369
0.391 0.781 0.781
0.609 0.219 0.219
0.631 0.084 0.631
0.631 0.631 0.084
0.781 0.391 0.781
0.781 0.781 0.391
0.916 0.369 0.369
```

Crystal system = trigonal
E_form (uncorrected) = -2815 kJ/mol of formula units
Final energy = -125.09 eV/cell
N(E_F) = 9.27 states/eV/cell